Entry 1:
A plane-wave DFT calculation with PBEsol was carried out for crystalline KLi4Ca at its relaxed geometry.

* volume: 30.282 A^3/atom

Unit cell a=6.3575 b=6.3575 c=6.3575 alpha=60.00 beta=60.00 gamma=60.00
With the nearest neighbours (Å) after each atom.
Fractional positions:
Li (0.8696, 0.3768, 0.3768)  6 Li 3.13-3.22
Li (0.3768, 0.3768, 0.8696)  6 Li 3.13-3.22
Li (0.3768, 0.3768, 0.3768)  6 Li 3.13-3.22
Li (0.3768, 0.8696, 0.3768)  6 Li 3.13-3.22
Ca (0.7500, 0.7500, 0.7500)  12 Li 3.72, 4 K 3.89
K (0.0000, 0.0000, 0.0000)  12 Li 3.73, 4 Ca 3.89



Entry 2:
A plane-wave DFT calculation with PBEsol was carried out for crystalline KLiCa2 at its relaxed geometry.

* volume: 41.650 A^3/atom

Unit cell a=3.8056 b=6.2333 c=7.1018 alpha=90.00 beta=98.54 gamma=90.00
With the nearest neighbours (Å) after each atom.
Fractional positions:
Li (0.0000, 0.5000, 0.5000)  4 Ca 3.68, 2 K 3.77, 2 Li 3.81
K (0.5000, 0.5000, 0.0000)  2 Li 3.77, 2 K 3.81, 4 Ca 3.89
Ca (0.2181, 0.0000, 0.2685)  5 Ca 3.65-3.93, 2 Li 3.68, 2 K 3.89
Ca (0.7819, 0.0000, 0.7315)  5 Ca 3.65-3.93, 2 Li 3.68, 2 K 3.89



Entry 3:
A plane-wave DFT calculation with PBEsol was carried out for crystalline KLiCa2Nb at its relaxed geometry.

* volume: 28.911 A^3/atom

Unit cell a=4.2218 b=5.8515 c=5.8515 alpha=90.00 beta=90.00 gamma=90.00
With the nearest neighbours (Å) after each atom.
Fractional positions:
K (0.0000, 0.0000, 0.0000)  2 Li 2.11
Nb (0.5000, 0.5000, 0.5000)  8 Ca 3.61
Li (0.5000, 0.0000, 0.0000)  2 K 2.11
Ca (0.0000, 0.0000, 0.5000)  2 K 2.93
Ca (0.0000, 0.5000, 0.0000)  2 K 2.93



Entry 4:
A plane-wave DFT calculation with PBEsol was carried out for crystalline KSrLi2Ca at its relaxed geometry.

* volume: 42.729 A^3/atom

Unit cell a=5.7322 b=5.7322 c=6.5019 alpha=90.00 beta=90.00 gamma=90.00
With the nearest neighbours (Å) after each atom.
Fractional positions:
Sr (0.5000, 0.5000, 0.5000)  4 Ca 4.05, 8 Li 4.33
K (0.0000, 0.0000, 0.0000)  4 Li 2.87
Ca (0.0000, 0.0000, 0.5000)  2 K 3.25
Li (0.0000, 0.5000, 0.0000)  2 K 2.87
Li (0.5000, 0.0000, 0.0000)  2 K 2.87



Entry 5:
A plane-wave DFT calculation with PBEsol was carried out for crystalline KCaMg3 at its relaxed geometry.

* volume: 46.363 A^3/atom

Unit cell a=6.1430 b=6.1430 c=6.1430 alpha=90.00 beta=90.00 gamma=90.00
With the nearest neighbours (Å) after each atom.
Fractional positions:
K (0.5000, 0.5000, 0.5000)  12 Mg 4.34
Mg (0.5000, 0.0000, 0.0000)  2 Ca 3.07
Mg (0.0000, 0.5000, 0.0000)  2 Ca 3.07
Mg (0.0000, 0.0000, 0.5000)  2 Ca 3.07
Ca (0.0000, 0.0000, 0.0000)  6 Mg 3.07



Entry 6:
A plane-wave DFT calculation with PBEsol was carried out for crystalline KCaMg2 at its relaxed geometry.

* volume: 34.902 A^3/atom

Unit cell a=3.7980 b=3.7980 c=9.6782 alpha=90.00 beta=90.00 gamma=90.00
With the nearest neighbours (Å) after each atom.
Fractional positions:
Mg (0.0000, 0.0000, 0.2154)  4 Ca 3.40, 4 Mg 3.80
Mg (0.0000, 0.0000, 0.7846)  4 Ca 3.40, 4 Mg 3.80
Ca (0.5000, 0.5000, 0.0000)  8 Mg 3.40, 4 Ca 3.80
K (0.5000, 0.5000, 0.5000)  4 K 3.80, 8 Mg 3.85



no.,calculated total energy (Ry per atom)
1,-0.131
2,-0.122
3,-0.166
4,-0.096
5,-0.080
6,-0.115